[1]
First-principles (PBE) data for DyYTeO2 after structural relaxation, as listed in OQMD.

Computed properties:
The space group is P3m1. As for the total moment: 0.000 μB per atom. For the distance to the lowest polymorph of the same formula, the calculation gives 75.5 meV per atom.

Cell: 3.891 3.891 7.185 Å, 90.00 90.00 120.00°
Fractional coordinates of all 5 atoms:
Dy 0.000 0.000 0.000
Y 0.667 0.333 0.392
Te 0.333 0.667 0.695
O 0.000 0.000 0.315
O 0.667 0.333 0.073

***

[2]
First-principles (PBE) data for DyTl2O4 after structural relaxation, as listed in OQMD.

Computed properties:
The space group is Fd-3m. As for the total moment: 0.000 μB per atom. For the final energy, the calculation gives -5.6855 eV per atom.

Cell: 6.857 6.857 6.857 Å, 60.00 60.00 60.00°
Fractional coordinates of all 14 atoms:
Dy 0.125 0.125 0.125
Dy 0.875 0.875 0.875
Tl 0.000 0.500 0.500
Tl 0.500 0.000 0.500
Tl 0.500 0.500 0.000
Tl 0.500 0.500 0.500
O 0.254 0.254 0.254
O 0.254 0.254 0.738
O 0.254 0.738 0.254
O 0.262 0.746 0.746
O 0.738 0.254 0.254
O 0.746 0.262 0.746
O 0.746 0.746 0.262
O 0.746 0.746 0.746

***

[3]
First-principles (PBE) data for DyTlZnO3 after structural relaxation, as listed in OQMD.

Computed properties:
The space group is Cmcm. As for the total moment: 0.000 μB per atom. For the final energy, the calculation gives -5.7962 eV per atom.

Cell: 6.273 6.273 9.027 Å, 90.00 90.00 147.30°
Fractional coordinates of all 12 atoms:
Dy 0.000 0.000 0.000
Dy 0.000 0.000 0.500
Tl 0.299 0.701 0.750
Tl 0.701 0.299 0.250
Zn 0.413 0.587 0.250
Zn 0.587 0.413 0.750
O 0.027 0.973 0.250
O 0.384 0.616 0.044
O 0.384 0.616 0.456
O 0.616 0.384 0.544
O 0.616 0.384 0.956
O 0.973 0.027 0.750

***

[4]
First-principles (PBE) data for DyTmO4 after structural relaxation, as listed in OQMD.

Computed properties:
The space group is Cm. As for the total moment: 0.001 μB per atom. For the final energy, the calculation gives -7.8238 eV per atom.

Cell: 3.843 3.843 6.102 Å, 95.47 95.47 56.90°
Fractional coordinates of all 6 atoms:
Dy 0.000 0.000 0.000
Tm 0.364 0.364 0.457
O 0.036 0.036 0.379
O 0.329 0.329 0.087
O 0.588 0.588 0.778
O 0.775 0.775 0.671

***

[5]
First-principles (PBE) data for DyTm2O4 after structural relaxation, as listed in OQMD.

Computed properties:
The space group is Fd-3m. As for the total moment: 0.018 μB per atom. For the final energy, the calculation gives -8.0576 eV per atom.

Cell: 6.673 6.673 6.673 Å, 60.00 60.00 60.00°
Fractional coordinates of all 14 atoms:
Dy 0.125 0.125 0.125
Dy 0.875 0.875 0.875
Tm 0.000 0.500 0.500
Tm 0.500 0.000 0.500
Tm 0.500 0.500 0.000
Tm 0.500 0.500 0.500
O 0.260 0.260 0.260
O 0.260 0.260 0.719
O 0.260 0.719 0.260
O 0.281 0.740 0.740
O 0.719 0.260 0.260
O 0.740 0.281 0.740
O 0.740 0.740 0.281
O 0.740 0.740 0.740

***

[6]
First-principles (PBE) data for DyTm2O3 after structural relaxation, as listed in OQMD.

Computed properties:
The space group is P-3m1. As for the total moment: 0.002 μB per atom. For the final energy, the calculation gives -7.5292 eV per atom.

Cell: 3.349 3.349 8.220 Å, 90.00 90.00 120.00°
Fractional coordinates of all 6 atoms:
Dy 0.000 0.000 0.000
Tm 0.333 0.667 0.665
Tm 0.667 0.333 0.335
O 0.000 0.000 0.500
O 0.333 0.667 0.183
O 0.667 0.333 0.817

***

[7]
First-principles (PBE) data for Dy2Y2O5 after structural relaxation, as listed in OQMD.

Computed properties:
The space group is P4/mmm. As for the total moment: 0.178 μB per atom. For the distance to the lowest polymorph of the same formula, the calculation gives 0.0 meV per atom.

Cell: 3.879 3.879 9.527 Å, 90.00 90.00 90.00°
Fractional coordinates of all 9 atoms:
Dy 0.000 0.000 0.242
Dy 0.000 0.000 0.758
Y 0.500 0.500 0.000
Y 0.500 0.500 0.500
O 0.000 0.000 0.500
O 0.000 0.500 0.144
O 0.000 0.500 0.856
O 0.500 0.000 0.144
O 0.500 0.000 0.856

***

[8]
First-principles (PBE) data for DyY2O3 after structural relaxation, as listed in OQMD.

Computed properties:
The space group is P-3m1. As for the total moment: 0.000 μB per atom. For the final energy, the calculation gives -8.1710 eV per atom.

Cell: 3.394 3.394 8.331 Å, 90.00 90.00 120.00°
Fractional coordinates of all 6 atoms:
Dy 0.000 0.000 0.000
Y 0.333 0.667 0.667
Y 0.667 0.333 0.333
O 0.000 0.000 0.500
O 0.333 0.667 0.166
O 0.667 0.333 0.834